Here is a relaxed Pm2MgZnS5 crystal from Alexandria. Energies are from PBE.

Calculated values
Space group: No. 36
Size of the total moment (μB/f.u.): 0.0
E_form (uncorrected) (eV/atom): -1.61

Unit cell a=3.8856 b=8.5259 c=11.4895 alpha=90.00 beta=90.00 gamma=103.17
Element x y z (fractional)
S1 0.9512 0.9023 0.5648
Mg1 0.7950 0.5900 0.5122
S2 0.2871 0.5742 0.6647
S3 0.6877 0.3753 0.8550
Mg2 0.2050 0.4100 0.0122
Pm1 0.1141 0.2283 0.6872
S4 0.6437 0.2874 0.5003
S5 0.4971 0.9941 0.7778
Pm2 0.8859 0.7717 0.1872
S6 0.0488 0.0977 0.0648
S7 0.3123 0.6247 0.3550
Zn1 0.4446 0.8893 0.4588
S8 0.3563 0.7126 0.0003
Pm3 0.8679 0.7359 0.8031
Zn2 0.5554 0.1107 0.9588
S9 0.5029 0.0059 0.2778
Pm4 0.1321 0.2641 0.3031
S10 0.7129 0.4258 0.1647